VASP calculation (PBE-GGA) on crystalline SrSeCl2 at its relaxed geometry.

The structure belongs to space group Immm (No. 71); the cell edges are 4.371, 5.842 and 8.525 Å and the angles 90.00°, 90.00° and 90.00°. Symmetry generates all atoms from Sr at (0.000, 0.000, 0.000), Se at (0.000, 0.000, 0.500) and Cl at (0.000, 0.500, 0.257).

For the offset from the most stable computed form, the calculation gives 324 meV per atom. As for the total energy: -3.379 eV per atom. For the formation energy from raw total energies, the calculation gives -1.16 eV per atom.

VASP calculation (PBE-GGA) on crystalline K4YCl at its relaxed geometry.

The structure belongs to space group F-43m (No. 216); the cell edges are 10.979, 10.979 and 10.979 Å and the angles 90.00°, 90.00° and 90.00°. Symmetry generates all atoms from K at (0.125, 0.125, 0.125), Y at (0.250, 0.250, 0.750) and Cl at (0.000, 0.000, 0.500).

As for the total energy: -1.904 eV per atom. For the formation energy from raw total energies, the calculation gives 0.21 eV per atom.

VASP calculation (PBE-GGA) on crystalline NpNbZnO6 at its relaxed geometry.

The structure belongs to space group P-31c (No. 163); the cell edges are 5.4791, 5.4791 and 8.9595 Å and the angles 90.00°, 90.00° and 120.00°. Symmetry generates all atoms from Np at (0.3333, 0.6667, 0.2500), Nb at (0.3333, 0.6667, 0.7500), Zn at (0.0000, 0.0000, 0.0000) and O at (0.0142, 0.3525, 0.6320).

As for the total energy: -8.301 eV per atom. For the formation energy from raw total energies, the calculation gives -2.30 eV per atom.

Repeat the first record exactly.
VASP calculation (PBE-GGA) on crystalline SrSeCl2 at its relaxed geometry.

The structure belongs to space group Immm (No. 71); the cell edges are 4.371, 5.842 and 8.525 Å and the angles 90.00°, 90.00° and 90.00°. Symmetry generates all atoms from Sr at (0.000, 0.000, 0.000), Se at (0.000, 0.000, 0.500) and Cl at (0.000, 0.500, 0.257).

For the offset from the most stable computed form, the calculation gives 324 meV per atom. As for the total energy: -3.379 eV per atom. For the formation energy from raw total energies, the calculation gives -1.16 eV per atom.

- formation energy from raw total energies of number 3 (NpNbZnO6)?
  -2.30 eV per atom